# Y4AlPb

Y4AlPb after structural relaxation (GGA-PBE, Alexandria via LeMat-Bulk).

Lattice parameters (Å, degrees): 8.917 8.917 8.917 90.00 90.00 90.00
Space group F-43m (No. 216)
One atom of each set of equivalent atoms:
Y: 0.125 0.125 0.125 [16 per cell]
Al: 0.250 0.250 0.750 [4 per cell]
Pb: 0.000 0.000 0.500 [4 per cell]

Magnetization ... 0.00 μB per formula unit
Crystal system ... cubic
Energy of formation from the pure elements ... 0.257 eV/atom
VASP energy ... -5.295 eV/atom